A relaxed NpCr2TcO8 crystal, computed with PBE with a Hubbard U.

Output
uncorrected energy = -8.5511 eV/atom
magnetization = 0.484 μB/atom

Structure (POSCAR):
```
NpCr2TcO8
1.0
4.743 -0.087 -0.003
-0.058 4.742 -0.005
0.004 0.007 6.171
Np Cr Tc O
1 2 1 8
direct
0.000 0.000 0.500
0.500 0.500 0.758
0.500 0.500 0.242
0.000 0.000 0.000
0.205 0.795 0.240
0.704 0.704 0.000
0.795 0.205 0.240
0.795 0.205 0.760
0.296 0.296 0.000
0.205 0.795 0.760
0.690 0.691 0.500
0.310 0.309 0.500
```